FeSb2TeN after structural relaxation. Source: the Alexandria database, functional PBE-GGA.

Cell: 4.8355 4.8355 4.8474 Å, 90.00 90.00 90.00°
Last column: nearest neighbours and their distance in Å.
Space group P4/mmm (No. 123)
Symmetry-distinct sites (fractional):
Fe: 0.0000 0.0000 0.0000  4 Sb 2.42, 2 Te 2.42
Sb: 0.0000 0.5000 0.0000  2 Fe 2.42
Te: 0.0000 0.0000 0.5000  2 Fe 2.42
N: 0.5000 0.5000 0.5000  4 Te 3.42, 8 Sb 3.42

The value obtained for the calculated volume is 113 Å³ per cell. For the energy above the most stable polymorph in this dataset, the calculation gives 452 meV/atom. The density is 6.5 g/cm3. The calculation puts the formation energy without anion corrections at 1361 meV/atom. For the raw total energy, the calculation gives -21.37 eV/cell.